--- A ---
{
  "formula": "NaNdEr2",
  "functional": "PBE",
  "state": "optimized geometry",
  "mass_density_g_cm3": 6.12,
  "lattice": [[1.759, 1.016, 12.704], [-1.759, 1.016, 12.704], [0.000, -2.031, 12.704]],
  "species": ["Na", "Nd", "Er", "Er"],
  "fractional_positions": [[0.000, 0.000, 0.000], [0.500, 0.500, 0.500], [0.092, 0.092, 0.092], [0.908, 0.908, 0.908]]
}

***

--- B ---
{
  "formula": "NaNdEr2",
  "functional": "PBE",
  "state": "optimized geometry",
  "mass_density_g_cm3": 6.24,
  "lattice": [[3.581, 0.000, 0.000], [0.000, 3.581, 0.000], [0.000, 0.000, 10.414]],
  "species": ["Na", "Nd", "Er", "Er"],
  "fractional_positions": [[0.000, 0.000, 0.000], [0.000, 0.000, 0.500], [0.500, 0.500, 0.267], [0.500, 0.500, 0.733]]
}

***

Which of them is the most stable? Correct choice: B.

***

--- A ---
{
  "formula": "NaEr2Ni",
  "functional": "PBE",
  "state": "optimized geometry",
  "mass_density_g_cm3": 5.26,
  "lattice": [[1.933, 1.116, 10.154], [-1.933, 1.116, 10.154], [0.000, -2.232, 10.154]],
  "species": ["Na", "Er", "Er", "Ni"],
  "fractional_positions": [[0.000, 0.000, 0.000], [0.120, 0.120, 0.120], [0.880, 0.880, 0.880], [0.500, 0.500, 0.500]]
}

***

--- B ---
{
  "formula": "NaEr2Ni",
  "functional": "PBE",
  "state": "optimized geometry",
  "mass_density_g_cm3": 6.54,
  "lattice": [[3.340, 0.000, 0.000], [0.000, 3.340, 0.000], [0.000, 0.000, 9.470]],
  "species": ["Na", "Er", "Er", "Ni"],
  "fractional_positions": [[0.000, 0.000, 0.000], [0.500, 0.500, 0.331], [0.500, 0.500, 0.669], [0.000, 0.000, 0.500]]
}

***

Which of them is the most stable? Correct choice: B.

***

--- A ---
{
  "formula": "NaErS2O8",
  "functional": "PBE",
  "state": "optimized geometry",
  "mass_density_g_cm3": 3.58,
  "lattice": [[5.379, 0.000, 0.000], [-2.690, 4.658, 0.000], [0.000, 0.000, 7.085]],
  "species": ["Na", "Er", "S", "S", "O", "O", "O", "O", "O", "O", "O", "O"],
  "fractional_positions": [[0.000, 0.000, 0.000], [0.000, 0.000, 0.500], [0.333, 0.667, 0.775], [0.667, 0.333, 0.225], [0.182, 0.366, 0.698], [0.185, 0.818, 0.698], [0.333, 0.667, 0.979], [0.366, 0.185, 0.302], [0.634, 0.815, 0.698], [0.667, 0.333, 0.021], [0.815, 0.182, 0.302], [0.818, 0.634, 0.302]]
}

***

--- B ---
{
  "formula": "NaErS2O8",
  "functional": "PBE",
  "state": "optimized geometry",
  "mass_density_g_cm3": 3.97,
  "lattice": [[4.733, 0.000, 0.000], [0.000, 6.889, 0.000], [-1.255, 0.000, 9.810]],
  "species": ["Na", "Na", "Er", "Er", "S", "S", "S", "S", "O", "O", "O", "O", "O", "O", "O", "O", "O", "O", "O", "O", "O", "O", "O", "O"],
  "fractional_positions": [[0.120, 0.250, 0.360], [0.880, 0.750, 0.640], [0.150, 0.250, 0.825], [0.850, 0.750, 0.175], [0.334, 0.750, 0.398], [0.355, 0.750, 0.929], [0.645, 0.250, 0.071], [0.666, 0.250, 0.602], [0.176, 0.579, 0.330], [0.176, 0.921, 0.330], [0.238, 0.576, 0.854], [0.238, 0.924, 0.854], [0.277, 0.750, 0.072], [0.328, 0.250, 0.056], [0.336, 0.750, 0.546], [0.367, 0.250, 0.635], [0.633, 0.750, 0.365], [0.664, 0.250, 0.454], [0.672, 0.750, 0.944], [0.723, 0.250, 0.928], [0.762, 0.076, 0.146], [0.762, 0.424, 0.146], [0.824, 0.079, 0.670], [0.824, 0.421, 0.670]]
}

***

Which of them is the most stable? Correct choice: B.

***

--- A ---
{
  "formula": "NaPmEr2",
  "functional": "PBE",
  "state": "optimized geometry",
  "mass_density_g_cm3": 6.30,
  "lattice": [[3.567, 0.000, 0.000], [0.000, 3.567, 0.000], [0.000, 0.000, 10.413]],
  "species": ["Na", "Pm", "Er", "Er"],
  "fractional_positions": [[0.000, 0.000, 0.000], [0.000, 0.000, 0.500], [0.500, 0.500, 0.268], [0.500, 0.500, 0.732]]
}

***

--- B ---
{
  "formula": "NaPmEr2",
  "functional": "PBE",
  "state": "optimized geometry",
  "mass_density_g_cm3": 6.17,
  "lattice": [[1.754, 1.013, 12.683], [-1.754, 1.013, 12.683], [0.000, -2.026, 12.683]],
  "species": ["Na", "Pm", "Er", "Er"],
  "fractional_positions": [[0.000, 0.000, 0.000], [0.500, 0.500, 0.500], [0.092, 0.092, 0.092], [0.908, 0.908, 0.908]]
}

***

Which of them is the most stable? Correct choice: A.

***

--- A ---
{
  "formula": "NaPrEr2",
  "functional": "PBE",
  "state": "optimized geometry",
  "mass_density_g_cm3": 6.15,
  "lattice": [[3.591, 0.000, 0.000], [0.000, 3.591, 0.000], [0.000, 0.000, 10.433]],
  "species": ["Na", "Pr", "Er", "Er"],
  "fractional_positions": [[0.000, 0.000, 0.000], [0.000, 0.000, 0.500], [0.500, 0.500, 0.266], [0.500, 0.500, 0.734]]
}

***

--- B ---
{
  "formula": "NaPrEr2",
  "functional": "PBE",
  "state": "optimized geometry",
  "mass_density_g_cm3": 6.03,
  "lattice": [[1.764, 1.019, 12.729], [-1.764, 1.019, 12.729], [0.000, -2.037, 12.729]],
  "species": ["Na", "Pr", "Er", "Er"],
  "fractional_positions": [[0.000, 0.000, 0.000], [0.500, 0.500, 0.500], [0.091, 0.091, 0.091], [0.909, 0.909, 0.909]]
}

***

Which of them is the most stable? Correct choice: A.

***

--- A ---
{
  "formula": "NaErSc",
  "functional": "PBE",
  "state": "optimized geometry",
  "mass_density_g_cm3": 4.38,
  "lattice": [[3.393, 0.000, 0.000], [-1.697, 2.939, 0.000], [0.000, 0.000, 8.947]],
  "species": ["Na", "Er", "Sc"],
  "fractional_positions": [[0.000, 0.000, 0.000], [0.667, 0.333, 0.363], [0.333, 0.667, 0.653]]
}

***

--- B ---
{
  "formula": "NaErSc",
  "functional": "PBE",
  "state": "optimized geometry",
  "mass_density_g_cm3": 4.04,
  "lattice": [[4.048, 0.000, 0.000], [0.000, 4.048, 0.000], [0.000, 0.000, 11.794]],
  "species": ["Na", "Na", "Er", "Er", "Sc", "Sc"],
  "fractional_positions": [[0.250, 0.250, 0.081], [0.750, 0.750, 0.919], [0.250, 0.250, 0.724], [0.750, 0.750, 0.276], [0.250, 0.750, 0.500], [0.750, 0.250, 0.500]]
}

***

Which of them is the most stable? Correct choice: A.

***

--- A ---
{
  "formula": "NaSmEr",
  "functional": "PBE",
  "state": "optimized geometry",
  "mass_density_g_cm3": 5.65,
  "lattice": [[3.550, 0.000, 0.000], [-1.775, 3.074, 0.000], [0.000, 0.000, 9.173]],
  "species": ["Na", "Sm", "Er"],
  "fractional_positions": [[0.000, 0.000, 0.000], [0.333, 0.667, 0.647], [0.667, 0.333, 0.346]]
}

***

--- B ---
{
  "formula": "NaSmEr",
  "functional": "PBE",
  "state": "optimized geometry",
  "mass_density_g_cm3": 5.64,
  "lattice": [[-1.754, 1.754, 8.142], [1.754, -1.754, 8.142], [1.754, 1.754, -8.142]],
  "species": ["Na", "Sm", "Er"],
  "fractional_positions": [[0.000, 0.000, 0.000], [0.678, 0.678, 0.000], [0.327, 0.327, 0.000]]
}

***

--- C ---
{
  "formula": "NaSmEr",
  "functional": "PBE",
  "state": "optimized geometry",
  "mass_density_g_cm3": 5.80,
  "lattice": [[5.631, 0.000, 0.000], [-2.816, 4.877, 0.000], [0.000, 0.000, 7.107]],
  "species": ["Na", "Na", "Sm", "Sm", "Er", "Er"],
  "fractional_positions": [[0.333, 0.667, 0.001], [0.667, 0.333, 0.999], [0.000, 0.000, 0.268], [0.000, 0.000, 0.732], [0.333, 0.667, 0.500], [0.667, 0.333, 0.500]]
}

***

Which of them is the most stable? Correct choice: A.

***

--- A ---
{
  "formula": "NaSmEr2",
  "functional": "PBE",
  "state": "optimized geometry",
  "mass_density_g_cm3": 6.39,
  "lattice": [[3.559, 0.000, 0.000], [0.000, 3.559, 0.000], [0.000, 0.000, 10.414]],
  "species": ["Na", "Sm", "Er", "Er"],
  "fractional_positions": [[0.000, 0.000, 0.000], [0.000, 0.000, 0.500], [0.500, 0.500, 0.269], [0.500, 0.500, 0.731]]
}

***

--- B ---
{
  "formula": "NaSmEr2",
  "functional": "PBE",
  "state": "optimized geometry",
  "mass_density_g_cm3": 6.27,
  "lattice": [[1.751, 1.011, 12.664], [-1.751, 1.011, 12.664], [0.000, -2.021, 12.664]],
  "species": ["Na", "Sm", "Er", "Er"],
  "fractional_positions": [[0.000, 0.000, 0.000], [0.500, 0.500, 0.500], [0.092, 0.092, 0.092], [0.908, 0.908, 0.908]]
}

***

Which of them is the most stable? Correct choice: A.

***

--- A ---
{
  "formula": "NaErSn",
  "functional": "PBE",
  "state": "optimized geometry",
  "mass_density_g_cm3": 5.94,
  "lattice": [[-1.703, 1.703, 7.444], [1.703, -1.703, 7.444], [1.703, 1.703, -7.444]],
  "species": ["Na", "Er", "Sn"],
  "fractional_positions": [[0.000, 0.000, 0.000], [0.299, 0.299, 0.000], [0.656, 0.656, 0.000]]
}

***

--- B ---
{
  "formula": "NaErSn",
  "functional": "PBE",
  "state": "optimized geometry",
  "mass_density_g_cm3": 5.42,
  "lattice": [[0.000, 3.618, 3.618], [3.618, 0.000, 3.618], [3.618, 3.618, 0.000]],
  "species": ["Na", "Er", "Sn"],
  "fractional_positions": [[0.000, 0.000, 0.000], [0.500, 0.500, 0.500], [0.750, 0.750, 0.750]]
}

***

--- C ---
{
  "formula": "NaErSn",
  "functional": "PBE",
  "state": "optimized geometry",
  "mass_density_g_cm3": 6.50,
  "lattice": [[5.134, 0.000, 0.000], [-2.567, 4.446, 0.000], [0.000, 0.000, 3.458]],
  "species": ["Na", "Er", "Sn"],
  "fractional_positions": [[0.000, 0.000, 0.000], [0.333, 0.667, 0.442], [0.667, 0.333, 0.854]]
}

***

--- D ---
{
  "formula": "NaErSn",
  "functional": "PBE",
  "state": "optimized geometry",
  "mass_density_g_cm3": 5.80,
  "lattice": [[5.156, 0.000, 0.000], [-2.578, 4.465, 0.000], [0.000, 0.000, 7.680]],
  "species": ["Na", "Na", "Er", "Er", "Sn", "Sn"],
  "fractional_positions": [[0.333, 0.667, 0.387], [0.667, 0.333, 0.613], [0.333, 0.667, 0.902], [0.667, 0.333, 0.098], [0.000, 0.000, 0.205], [0.000, 0.000, 0.795]]
}

***

Which of them is the most stable? Correct choice: B.

***

--- A ---
{
  "formula": "NaTbEr2",
  "functional": "PBE",
  "state": "optimized geometry",
  "mass_density_g_cm3": 6.61,
  "lattice": [[3.532, 0.000, 0.000], [0.000, 3.532, 0.000], [0.000, 0.000, 10.404]],
  "species": ["Na", "Tb", "Er", "Er"],
  "fractional_positions": [[0.000, 0.000, 0.000], [0.000, 0.000, 0.500], [0.500, 0.500, 0.270], [0.500, 0.500, 0.730]]
}

***

--- B ---
{
  "formula": "NaTbEr2",
  "functional": "PBE",
  "state": "optimized geometry",
  "mass_density_g_cm3": 6.49,
  "lattice": [[1.740, 1.004, 12.612], [-1.740, 1.004, 12.612], [0.000, -2.009, 12.612]],
  "species": ["Na", "Tb", "Er", "Er"],
  "fractional_positions": [[0.000, 0.000, 0.000], [0.500, 0.500, 0.500], [0.092, 0.092, 0.092], [0.908, 0.908, 0.908]]
}

***

Which of them is the most stable? Correct choice: A.

***

--- A ---
{
  "formula": "NaEr2Tc",
  "functional": "PBE",
  "state": "optimized geometry",
  "mass_density_g_cm3": 7.05,
  "lattice": [[3.439, 0.000, 0.000], [0.000, 3.439, 0.000], [0.000, 0.000, 9.074]],
  "species": ["Na", "Er", "Er", "Tc"],
  "fractional_positions": [[0.000, 0.000, 0.000], [0.500, 0.500, 0.323], [0.500, 0.500, 0.677], [0.000, 0.000, 0.500]]
}

***

--- B ---
{
  "formula": "NaEr2Tc",
  "functional": "PBE",
  "state": "optimized geometry",
  "mass_density_g_cm3": 6.67,
  "lattice": [[1.725, 0.996, 10.991], [-1.725, 0.996, 10.991], [0.000, -1.992, 10.991]],
  "species": ["Na", "Er", "Er", "Tc"],
  "fractional_positions": [[0.000, 0.000, 0.000], [0.107, 0.107, 0.107], [0.893, 0.893, 0.893], [0.500, 0.500, 0.500]]
}

***

Which of them is the most stable? Correct choice: A.

***

--- A ---
{
  "formula": "NaEr3Te4",
  "functional": "PBE",
  "state": "optimized geometry",
  "mass_density_g_cm3": 6.33,
  "lattice": [[6.120, 0.000, 0.000], [0.000, 9.729, 0.000], [0.000, 0.000, 9.118]],
  "species": ["Na", "Na", "Er", "Er", "Er", "Er", "Er", "Er", "Te", "Te", "Te", "Te", "Te", "Te", "Te", "Te"],
  "fractional_positions": [[0.250, 0.250, 0.079], [0.750, 0.750, 0.921], [0.250, 0.555, 0.659], [0.250, 0.750, 0.272], [0.250, 0.945, 0.659], [0.750, 0.055, 0.341], [0.750, 0.250, 0.728], [0.750, 0.445, 0.341], [0.250, 0.049, 0.346], [0.250, 0.250, 0.746], [0.250, 0.451, 0.346], [0.250, 0.750, 0.923], [0.750, 0.250, 0.077], [0.750, 0.549, 0.654], [0.750, 0.750, 0.254], [0.750, 0.951, 0.654]]
}

***

--- B ---
{
  "formula": "NaEr3Te4",
  "functional": "PBE",
  "state": "optimized geometry",
  "mass_density_g_cm3": 7.39,
  "lattice": [[-3.072, 3.072, 6.163], [3.072, -3.072, 6.163], [3.072, 3.072, -6.163]],
  "species": ["Na", "Er", "Er", "Er", "Te", "Te", "Te", "Te"],
  "fractional_positions": [[0.000, 0.000, 0.000], [0.250, 0.750, 0.500], [0.500, 0.500, 0.000], [0.750, 0.250, 0.500], [0.000, 0.500, 0.500], [0.250, 0.250, 0.000], [0.500, 0.000, 0.500], [0.750, 0.750, 0.000]]
}

***

Which of them is the most stable? Correct choice: B.